The following is a DFT calculation (PBE) of a relaxed structure of PrSiPt.

The space group is I4_1md (No. 109) and the conventional cell measures 4.248, 4.248 and 14.508 Å, with angles of 90.00, 90.00 and 90.00 degrees. Symmetry generates all atoms from Pr at (0.000, 0.000, 0.000), Si at (0.000, 0.000, 0.419) and Pt at (0.000, 0.000, 0.588).

For the final energy, the calculation gives -19.6 eV per formula unit.